Entry from the Alexandria database: TaGe2Pb after structural relaxation (PBE).

Results
Energy of formation ... 0.635 eV/atom
DOS(E_F) ... 5.57 states/eV per cell
Space group ... I-42d
Calculated total energy ... -5.56 eV per atom
Total magnetization ... 0.000 μB per formula unit

Cell lengths 7.597, 7.597, 7.597 Å; angles 131.76, 131.76, 70.61 degrees
Positions (direct):
Ta1 0.000 0.000 0.000
Ta2 0.750 0.250 0.500
Ge1 0.078 0.625 0.953
Ge2 0.375 0.328 0.453
Ge3 0.672 0.125 0.047
Ge4 0.875 0.922 0.547
Pb1 0.250 0.750 0.500
Pb2 0.500 0.500 0.000